Entry 1:
A plane-wave DFT calculation with PBE was carried out for a relaxed structure of CeMgGe2Ir2.

Cell lengths 4.3604, 4.3604, 6.6811 Å; angles 90.00, 90.00, 120.00 degrees
Space group P-3m1 (No. 164)
Unique sites:
Ce (0.0000, 0.0000, 0.0000) [1 per cell]
Mg (0.0000, 0.0000, 0.5000) [1 per cell]
Ge (0.3333, 0.6667, 0.2939) [2 per cell]
Ir (0.3333, 0.6667, 0.7138) [2 per cell]

ΔH_f (0 K)   -638 meV per atom
Crystal system   trigonal

Entry 2:
A plane-wave DFT calculation with PBE was carried out for a relaxed structure of CeMgGe2Ir5.

Cell lengths 4.1420, 4.1420, 9.0917 Å; angles 90.00, 90.00, 90.00 degrees
Space group P4/mmm (No. 123)
Unique sites:
Ce (0.0000, 0.0000, 0.0000) [1 per cell]
Mg (0.0000, 0.0000, 0.5000) [1 per cell]
Ge (0.5000, 0.5000, 0.3678) [2 per cell]
Ir (0.0000, 0.5000, 0.2252) [4 per cell]
Ir (0.5000, 0.5000, 0.0000) [1 per cell]

ΔH_f (0 K)   -382 meV per atom
Crystal system   tetragonal

Entry 3:
A plane-wave DFT calculation with PBE was carried out for a relaxed structure of Ce2MgGe3Ir4.

Cell lengths 4.1521, 4.1521, 10.8320 Å; angles 90.00, 90.00, 90.00 degrees
Space group P-4m2 (No. 115)
Unique sites:
Ce (0.0000, 0.5000, 0.2480) [2 per cell]
Mg (0.0000, 0.0000, 0.5000) [1 per cell]
Ge (0.0000, 0.5000, 0.8736) [2 per cell]
Ge (0.5000, 0.5000, 0.5000) [1 per cell]
Ir (0.0000, 0.0000, 0.0000) [1 per cell]
Ir (0.0000, 0.5000, 0.6482) [2 per cell]
Ir (0.5000, 0.5000, 0.0000) [1 per cell]

ΔH_f (0 K)   -729 meV per atom
Crystal system   tetragonal

What is the ΔH_f (0 K) in the third record?
-729 meV per atom

What is the ΔH_f (0 K) in the first record?
-638 meV per atom